CsScZn2Br8: optimized geometry, GGA-PBE.

Uncorrected formation energy in eV per atom: -1.29
Total moment in μB/f.u.: 0.000
VASP energy in eV/atom: -3.217
DOS at the Fermi energy in states/eV per cell: 0.00
Mass density in Mg/m³: 3.7

Lattice parameters (Å, degrees): 6.7710 6.7710 11.3047 72.57 72.57 60.00
With the nearest neighbours (Å) after each atom.
Sites, in units of the cell vectors:
Cs1 0.5000 0.5000 0.5000  12 Br 3.95-4.37
Sc1 0.0000 0.0000 0.0000  6 Br 2.68
Zn1 0.2595 0.2595 0.2214  4 Br 2.37-2.48
Zn2 0.7405 0.7405 0.7786  4 Br 2.37-2.48
Br1 0.1852 0.1852 0.4445  1 Zn 2.37
Br2 0.6348 0.2767 0.1473  1 Zn 2.48, 1 Sc 2.68
Br3 0.8148 0.8148 0.5555  1 Zn 2.37
Br4 0.9412 0.6348 0.1473  1 Zn 2.48, 1 Sc 2.68
Br5 0.0588 0.3652 0.8527  1 Zn 2.48, 1 Sc 2.68
Br6 0.2767 0.9412 0.1473  1 Zn 2.48, 1 Sc 2.68
Br7 0.7233 0.0588 0.8527  1 Zn 2.48, 1 Sc 2.68
Br8 0.3652 0.7233 0.8527  1 Zn 2.48, 1 Sc 2.68